--- A ---
Entry from Alexandria: a relaxed KSc3Au crystal (GGA-PBE).

Structure (CIF):
```
data_KSc3Au
_chemical_formula_sum 'K1 Sc3 Au1'
_cell_length_a 4.796
_cell_length_b 4.796
_cell_length_c 4.796
_cell_angle_alpha 90.00
_cell_angle_beta 90.00
_cell_angle_gamma 90.00
_space_group_name_H-M_alt 'P m -3 m'
_space_group_IT_number 221
_space_group_name_Hall '-P 4 2 3'
loop_
_atom_site_label
_atom_site_type_symbol
_atom_site_fract_x
_atom_site_fract_y
_atom_site_fract_z
K1 K 0.000 0.000 0.000
Sc1 Sc 0.000 0.000 0.500
Au1 Au 0.500 0.500 0.500
```

Results
Volume, Å³/cell: 110.3

***

--- B ---
Entry from Alexandria: a relaxed KSc3Au crystal (GGA-PBE).

Structure (CIF):
```
data_KSc3Au
_chemical_formula_sum 'K1 Sc3 Au1'
_cell_length_a 5.373
_cell_length_b 5.373
_cell_length_c 5.373
_cell_angle_alpha 90.00
_cell_angle_beta 90.00
_cell_angle_gamma 90.00
_space_group_name_H-M_alt 'P m -3 m'
_space_group_IT_number 221
_space_group_name_Hall '-P 4 2 3'
loop_
_atom_site_label
_atom_site_type_symbol
_atom_site_fract_x
_atom_site_fract_y
_atom_site_fract_z
K1 K 0.000 0.000 0.000
Sc1 Sc 0.000 0.500 0.500
Au1 Au 0.500 0.500 0.500
```

Results
Volume, Å³/cell: 155.1

***

It is B that is most stable; the runner-up trails by 1.136 eV/atom.

***

--- A ---
Entry from Alexandria: a relaxed KAuSe4 crystal (GGA-PBE).

Structure (CIF):
```
data_KAuSe4
_chemical_formula_sum 'K4 Au4 Se16'
_cell_length_a 5.902
_cell_length_b 11.377
_cell_length_c 11.199
_cell_angle_alpha 90.00
_cell_angle_beta 97.91
_cell_angle_gamma 90.00
_space_group_name_H-M_alt 'C 1 2/c 1'
_space_group_IT_number 15
loop_
_space_group_symop_operation_xyz
'x,y,z'
'-x,-y,-z'
'-x,y,-z+1/2'
'x,-y,z+1/2'
'x+1/2,y+1/2,z'
'-x+1/2,-y+1/2,-z'
'-x+1/2,y+1/2,-z+1/2'
'x+1/2,-y+1/2,z+1/2'
loop_
_atom_site_label
_atom_site_type_symbol
_atom_site_fract_x
_atom_site_fract_y
_atom_site_fract_z
K1 K 0.000 0.099 0.250
Au1 Au 0.250 0.250 0.000
Se1 Se 0.015 0.430 0.920
Se2 Se 0.198 0.165 0.790
```

Results
Volume, Å³/cell: 744.8

***

--- B ---
Entry from Alexandria: a relaxed KAuSe4 crystal (GGA-PBE).

Structure (CIF):
```
data_KAuSe4
_chemical_formula_sum 'K4 Au4 Se16'
_cell_length_a 8.305
_cell_length_b 8.305
_cell_length_c 8.305
_cell_angle_alpha 90.00
_cell_angle_beta 90.00
_cell_angle_gamma 90.00
_space_group_name_H-M_alt 'F -4 3 m'
_space_group_IT_number 216
_space_group_name_Hall 'F -4 2 3'
loop_
_atom_site_label
_atom_site_type_symbol
_atom_site_fract_x
_atom_site_fract_y
_atom_site_fract_z
K1 K 0.000 0.000 0.000
Au1 Au 0.250 0.250 0.250
Se1 Se 0.124 0.124 0.624
```

Results
Volume, Å³/cell: 572.9

***

It is A that is most stable; the runner-up trails by 0.492 eV/atom.